# 1
The following is a GGA-PBE calculation of a relaxed Rh3Se4 crystal, from the Alexandria database.

a = 7.343 Å, b = 7.343 Å, c = 7.343 Å
α = 60.00°, β = 60.00°, γ = 60.00°
Fractional positions:
1 Rh 0.000 0.000 0.000
2 Rh 0.000 0.000 0.500
3 Rh 0.000 0.500 0.000
4 Rh 0.375 0.375 0.375
5 Rh 0.500 0.000 0.000
6 Rh 0.625 0.625 0.625
7 Se 0.224 0.759 0.759
8 Se 0.241 0.241 0.241
9 Se 0.241 0.241 0.776
10 Se 0.241 0.776 0.241
11 Se 0.759 0.224 0.759
12 Se 0.759 0.759 0.224
13 Se 0.759 0.759 0.759
14 Se 0.776 0.241 0.241

Values from the calculation:
Its final energy is -5.515 eV per atom. Its raw formation energy is -0.37 eV/atom. The volume is 20.00 A^3/atom. As for the space group: Fd-3m (227).


# 2
The following is a GGA-PBE calculation of a relaxed Rh4Se5 crystal, from the Alexandria database.

a = 7.197 Å, b = 7.197 Å, c = 7.197 Å
α = 92.50°, β = 92.50°, γ = 155.87°
Fractional positions:
1 Rh 0.000 0.327 0.327
2 Rh 0.000 0.673 0.673
3 Rh 0.327 0.000 0.327
4 Rh 0.673 0.000 0.673
5 Se 0.000 0.000 0.000
6 Se 0.333 0.333 0.666
7 Se 0.333 0.667 0.000
8 Se 0.667 0.333 0.000
9 Se 0.667 0.667 0.334

Values from the calculation:
Its final energy is -4.753 eV per atom. Its raw formation energy is 0.45 eV/atom. The volume is 16.56 A^3/atom. As for the space group: I4/mmm (139).


# 3
The following is a GGA-PBE calculation of a relaxed RhSe3 crystal, from the Alexandria database.

a = 4.838 Å, b = 4.838 Å, c = 3.732 Å
α = 90.00°, β = 90.00°, γ = 116.50°
Fractional positions:
1 Rh 0.000 0.000 0.000
2 Se 0.205 0.795 0.500
3 Se 0.500 0.500 0.000
4 Se 0.795 0.205 0.500

Values from the calculation:
Its final energy is -4.611 eV per atom. Its raw formation energy is -0.16 eV/atom. The volume is 19.54 A^3/atom. As for the space group: Cmmm (65).


# 4
The following is a GGA-PBE calculation of a relaxed RhSe3 crystal, from the Alexandria database.

a = 4.607 Å, b = 4.607 Å, c = 4.607 Å
α = 109.47°, β = 109.47°, γ = 109.47°
Fractional positions:
1 Rh 0.000 0.000 0.000
2 Se 0.000 0.500 0.500
3 Se 0.500 0.000 0.500
4 Se 0.500 0.500 0.000

Values from the calculation:
Its final energy is -4.409 eV per atom. Its raw formation energy is 0.04 eV/atom. The volume is 18.82 A^3/atom. As for the space group: Im-3m (229).


# 5
The following is a GGA-PBE calculation of a relaxed RhSe2 crystal, from the Alexandria database.

a = 4.163 Å, b = 4.163 Å, c = 3.384 Å
α = 90.00°, β = 90.00°, γ = 90.00°
Fractional positions:
1 Rh 0.000 0.000 0.000
2 Se 0.000 0.500 0.500
3 Se 0.500 0.000 0.500

Values from the calculation:
Its final energy is -4.661 eV per atom. Its raw formation energy is 0.11 eV/atom. The volume is 19.54 A^3/atom. As for the space group: P4/mmm (123).


# 6
The following is a GGA-PBE calculation of a relaxed Rh5Se crystal, from the Alexandria database.

a = 5.167 Å, b = 5.167 Å, c = 6.590 Å
α = 105.45°, β = 105.45°, γ = 31.39°
Fractional positions:
1 Rh 0.000 0.000 0.000
2 Rh 0.029 0.029 0.598
3 Rh 0.379 0.379 0.246
4 Rh 0.666 0.666 0.338
5 Rh 0.715 0.715 0.922
6 Se 0.320 0.320 0.652

Values from the calculation:
Its final energy is -6.586 eV per atom. Its raw formation energy is 0.12 eV/atom. The volume is 14.68 A^3/atom. As for the space group: Cm (8).


# 7
The following is a GGA-PBE calculation of a relaxed RhSe2 crystal, from the Alexandria database.

a = 9.746 Å, b = 8.596 Å, c = 5.903 Å
α = 82.21°, β = 60.91°, γ = 36.88°
Fractional positions:
1 Rh 0.005 0.005 0.745
2 Rh 0.255 0.255 0.995
3 Rh 0.745 0.745 0.005
4 Rh 0.995 0.995 0.255
5 Se 0.017 0.733 0.017
6 Se 0.267 0.983 0.267
7 Se 0.274 0.274 0.476
8 Se 0.476 0.476 0.274
9 Se 0.524 0.524 0.726
10 Se 0.726 0.726 0.524
11 Se 0.733 0.017 0.733
12 Se 0.983 0.267 0.983

Values from the calculation:
Its final energy is -4.630 eV per atom. Its raw formation energy is 0.14 eV/atom. The volume is 18.92 A^3/atom. As for the space group: Fddd (70).


# 8
The following is a GGA-PBE calculation of a relaxed Rh3Se crystal, from the Alexandria database.

a = 2.911 Å, b = 2.911 Å, c = 7.054 Å
α = 90.00°, β = 90.00°, γ = 90.00°
Fractional positions:
1 Rh 0.000 0.000 0.000
2 Rh 0.500 0.500 0.258
3 Rh 0.500 0.500 0.742
4 Se 0.000 0.000 0.500

Values from the calculation:
Its final energy is -6.250 eV per atom. Its raw formation energy is 0.13 eV/atom. The volume is 14.94 A^3/atom. As for the space group: P4/mmm (123).


# 9
The following is a GGA-PBE calculation of a relaxed Rh3Se crystal, from the Alexandria database.

a = 5.303 Å, b = 5.303 Å, c = 5.303 Å
α = 147.89°, β = 130.53°, γ = 60.20°
Fractional positions:
1 Rh 0.000 0.000 0.000
2 Rh 0.277 0.777 0.500
3 Rh 0.723 0.223 0.500
4 Se 0.500 0.500 0.000

Values from the calculation:
Its final energy is -6.284 eV per atom. Its raw formation energy is 0.10 eV/atom. The volume is 14.92 A^3/atom. As for the space group: Immm (71).


# 10
The following is a GGA-PBE calculation of a relaxed Rh3Se crystal, from the Alexandria database.

a = 2.906 Å, b = 4.158 Å, c = 5.174 Å
α = 90.00°, β = 105.63°, γ = 90.00°
Fractional positions:
1 Rh 0.000 0.000 0.000
2 Rh 0.369 0.500 0.736
3 Rh 0.631 0.500 0.264
4 Se 0.000 0.000 0.500

Values from the calculation:
Its final energy is -6.260 eV per atom. Its raw formation energy is 0.12 eV/atom. The volume is 15.05 A^3/atom. As for the space group: P2/m (10).


# 11
The following is a GGA-PBE calculation of a relaxed Rh2Se crystal, from the Alexandria database.

a = 5.496 Å, b = 5.496 Å, c = 5.496 Å
α = 148.36°, β = 148.36°, γ = 45.36°
Fractional positions:
1 Rh 0.156 0.156 0.000
2 Rh 0.844 0.844 0.000
3 Se 0.500 0.500 0.000

Values from the calculation:
Its final energy is -5.954 eV per atom. Its raw formation energy is 0.11 eV/atom. The volume is 15.18 A^3/atom. As for the space group: I4/mmm (139).


# 12
The following is a GGA-PBE calculation of a relaxed RhSe3 crystal, from the Alexandria database.

a = 2.942 Å, b = 2.942 Å, c = 9.590 Å
α = 90.00°, β = 90.00°, γ = 90.13°
Fractional positions:
1 Rh 0.000 0.000 0.000
2 Se 0.000 0.000 0.500
3 Se 0.500 0.500 0.172
4 Se 0.500 0.500 0.828

Values from the calculation:
Its final energy is -4.315 eV per atom. Its raw formation energy is 0.14 eV/atom. The volume is 20.75 A^3/atom. As for the space group: Cmmm (65).